No. 1
An optimized crystal structure of LuZrAgRu, computed with PBE.

Computed properties:
Mass density in g/cm3: 10.07
Energy of formation in kJ/mol of formula units: -125.8
Magnetic moment in μB per formula unit: 0.000

Cell: 4.8035 4.8035 4.8035 Å, 60.00 60.00 60.00°
With the nearest neighbours (Å) after each atom.
Sites, in units of the cell vectors:
Lu: 0.0000 0.0000 0.0000  4 Ru 2.94, 4 Ag 2.94
Zr: 0.5000 0.5000 0.5000  4 Ru 2.94, 4 Ag 2.94
Ag: 0.2500 0.2500 0.2500  4 Zr 2.94, 4 Lu 2.94
Ru: 0.7500 0.7500 0.7500  4 Lu 2.94, 4 Zr 2.94

---

No. 2
An optimized crystal structure of CeTmN, computed with PBE.

Computed properties:
Mass density in g/cm3: 6.19
ΔE to the lowest computed polymorph in meV/atom: 1145
Magnetic moment in μB per formula unit: 0.846
ΔE_f (raw) in kJ/mol of atoms: 16

Cell: 5.1222 5.1222 5.1222 Å, 125.05 125.05 81.45°
With the nearest neighbours (Å) after each atom.
Sites, in units of the cell vectors:
Ce: 0.0000 0.0000 0.0000  1 N 1.99
Tm: 0.4802 0.4802 0.0000  1 N 2.04
N: 0.7433 0.7433 0.0000  1 Ce 1.99, 1 Tm 2.04

---

No. 3
An optimized crystal structure of W5C4, computed with PBE.

Computed properties:
Mass density in g/cm3: 15.99
Energy of formation in kJ/mol of formula units: 388.6
ΔE to the lowest computed polymorph in meV/atom: 0
Magnetic moment in μB per formula unit: 0.000

Cell: 6.3645 6.3645 5.7275 Å, 90.00 90.00 120.00°
With the nearest neighbours (Å) after each atom.
Sites, in units of the cell vectors:
W: 0.0000 0.2511 0.2500  5 C 2.15-2.29
W: 0.0000 0.7489 0.7500  5 C 2.15-2.29
W: 0.2511 0.0000 0.2500  5 C 2.15-2.29
W: 0.2511 0.2511 0.7500  5 C 2.15-2.29
W: 0.3333 0.6667 0.0000  6 C 2.40
W: 0.3333 0.6667 0.5000  6 C 2.40
W: 0.6667 0.3333 0.0000  6 C 2.40
W: 0.6667 0.3333 0.5000  6 C 2.40
W: 0.7489 0.0000 0.7500  5 C 2.15-2.29
W: 0.7489 0.7489 0.2500  5 C 2.15-2.29
C: 0.0000 0.0000 0.0000  6 W 2.15
C: 0.0000 0.0000 0.5000  6 W 2.15
C: 0.0000 0.4118 0.7500  7 W 2.15-2.40
C: 0.0000 0.5882 0.2500  7 W 2.15-2.40
C: 0.4118 0.0000 0.7500  7 W 2.15-2.40
C: 0.4118 0.4118 0.2500  7 W 2.15-2.40
C: 0.5882 0.0000 0.2500  7 W 2.15-2.40
C: 0.5882 0.5882 0.7500  7 W 2.15-2.40

---

Question: Number 3 is which compound?
Answer: W5C4